1.
DFT (PBE) results for CsLiAg2Se after structural relaxation.

Properties
N(E_F) (states/eV/cell): 3.20
Total magnetic moment (μB per cell): 0.0
DFT total energy (eV/atom): -1.334
Raw formation energy (meV per atom): 1057

Unit cell a=5.785 b=5.785 c=6.015 alpha=90.00 beta=90.00 gamma=90.00
Space group P4/mmm (No. 123)
One atom of each set of equivalent atoms:
Cs 0.000 0.000 0.000
Li 0.000 0.000 0.500
Ag 0.000 0.500 0.000
Se 0.500 0.500 0.500

2.
DFT (PBE) results for CsLiSiAg2 after structural relaxation.

Properties
N(E_F) (states/eV/cell): 0.42
Total magnetic moment (μB per cell): 0.0
DFT total energy (eV/atom): -2.763
Raw formation energy (meV per atom): 16

Unit cell a=5.056 b=5.056 c=5.262 alpha=90.00 beta=90.00 gamma=90.00
Space group P4/mmm (No. 123)
One atom of each set of equivalent atoms:
Cs 0.000 0.000 0.000
Li 0.500 0.500 0.000
Si 0.500 0.500 0.500
Ag 0.000 0.500 0.500

3.
DFT (PBE) results for Cs2LiTaAg after structural relaxation.

Properties
N(E_F) (states/eV/cell): 1.93
Total magnetic moment (μB per cell): 5.0
DFT total energy (eV/atom): -2.328

Unit cell a=6.988 b=6.988 c=5.505 alpha=90.00 beta=90.00 gamma=90.00
Space group P4/mmm (No. 123)
One atom of each set of equivalent atoms:
Cs 0.000 0.500 0.000
Li 0.000 0.000 0.500
Ta 0.000 0.000 0.000
Ag 0.500 0.500 0.500